[1]
Entry from Alexandria via LeMat-Bulk: crystalline Ca4ReRu at its relaxed geometry (PBE-GGA).

Unit cell a=5.9289 b=5.9289 c=5.9289 alpha=60.00 beta=60.00 gamma=60.00
Fractional coordinates of all 6 atoms:
Ca: 0.1249 0.1249 0.1249
Ca: 0.1249 0.1249 0.6252
Ca: 0.1249 0.6252 0.1249
Ca: 0.6252 0.1249 0.1249
Re: 0.7500 0.7500 0.7500
Ru: 0.5000 0.5000 0.5000

Computed properties:
* mass density: 5.04 g/cm³
* space-group type: F-43m, No. 216
* DFT total energy: -3.5234 eV/atom
* crystal system: cubic



[2]
Entry from Alexandria via LeMat-Bulk: crystalline CaRe2Ru at its relaxed geometry (PBE-GGA).

Unit cell a=4.5066 b=4.5066 c=4.5066 alpha=60.00 beta=60.00 gamma=60.00
Fractional coordinates of all 4 atoms:
Ca: 0.0000 0.0000 0.0000
Re: 0.2500 0.2500 0.2500
Re: 0.7500 0.7500 0.7500
Ru: 0.5000 0.5000 0.5000

Computed properties:
* relative energy among the computed polymorphs: 486.0 meV per atom
* mass density: 13.18 g/cm³
* space-group type: Fm-3m, No. 225
* DFT total energy: -8.1598 eV/atom
* crystal system: cubic



[3]
Entry from Alexandria via LeMat-Bulk: crystalline CaReRu2 at its relaxed geometry (PBE-GGA).

Unit cell a=3.2063 b=3.2063 c=7.0338 alpha=90.00 beta=90.00 gamma=90.00
Fractional coordinates of all 4 atoms:
Ca: 0.0000 0.0000 0.0000
Re: 0.5000 0.5000 0.3301
Ru: 0.0000 0.0000 0.4941
Ru: 0.5000 0.5000 0.7087

Computed properties:
* relative energy among the computed polymorphs: 304.1 meV per atom
* mass density: 9.84 g/cm³
* space-group type: P4mm, No. 99
* DFT total energy: -7.6935 eV/atom
* crystal system: tetragonal



[4]
Entry from Alexandria via LeMat-Bulk: crystalline CaRe2Ru at its relaxed geometry (PBE-GGA).

Unit cell a=3.1048 b=4.4123 c=4.7980 alpha=90.00 beta=90.00 gamma=90.00
Fractional coordinates of all 4 atoms:
Ca: 0.0000 0.0000 0.0000
Re: 0.0000 0.5000 0.5000
Re: 0.5000 0.0000 0.5000
Ru: 0.5000 0.5000 0.0000

Computed properties:
* relative energy among the computed polymorphs: 174.9 meV per atom
* mass density: 12.97 g/cm³
* space-group type: Pmmm, No. 47
* DFT total energy: -8.4709 eV/atom
* crystal system: orthorhombic



- Among the records above, which one has the lowest DFT total energy?
  number 4



- Which of these has the highest mass density?
  number 2



- The lowest DFT total energy belongs to which entry?
  number 4